## Tb3DyGe2C (PBE-GGA)

Data for Tb3DyGe2C after structural relaxation.

## Properties
For the theoretical density, the calculation gives 7.80 g/cm³. Its space-group type is Immm. For the density of states at the Fermi level, the calculation gives 0.908 states/eV/f.u. The formation energy is -0.631 eV/atom.

a b c (Å): 4.703 4.720 8.336
angles (deg): 106.45 106.38 90.00
Atoms (fractional coordinates):
Ge  0.637  0.637  0.273
Ge  0.363  0.363  0.727
Tb  0.000  0.500  0.000
Tb  0.168  0.168  0.336
Tb  0.832  0.832  0.664
C  0.000  0.000  0.000
Dy  0.500  0.000  0.000